The following is a DFT calculation (PBE-GGA) of a relaxed LaPr2Ag4 crystal.

The structure in extended XYZ format:
```
7
Lattice="-3.831 3.831 3.504 3.831 -3.831 3.504 3.831 3.831 -3.504" Properties=species:S:1:pos:R:3 pbc="T T T"
La 0.000 0.000 0.000
Pr 3.831 0.000 0.000
Pr 0.000 3.831 0.000
Ag 1.915 1.915 -1.752
Ag 1.915 -1.915 1.752
Ag -1.915 1.915 1.752
Ag 1.915 1.915 1.752
```

Summary:
* calculated formation energy: -0.049 eV/atom
* E: -26.2 eV per cell
* space-group type: I4/mmm, No. 139


The following is a DFT calculation (PBE-GGA) of a relaxed La2PrAg crystal.

The structure in extended XYZ format:
```
4
Lattice="1.893 1.093 10.770 -1.893 1.093 10.770 0.000 -2.186 10.770" Properties=species:S:1:pos:R:3 pbc="T T T"
La 0.000 0.000 0.000
La 0.000 0.000 6.040
Pr 0.000 0.000 13.769
Ag 0.000 0.000 19.191
```

Summary:
* calculated formation energy: 0.000 eV/atom
* E: -17.5 eV per cell
* space-group type: R3m, No. 160
* polymorph energy (0 for the lowest one): 114.1 meV/atom


The following is a DFT calculation (PBE-GGA) of a relaxed La6PrAg2 crystal.

The structure in extended XYZ format:
```
18
Lattice="7.873 -5.834 0.000 7.873 5.834 0.000 -0.507 0.000 6.332" Properties=species:S:1:pos:R:3 pbc="T T T"
La 6.458 4.437 6.321
La 4.153 1.415 1.098
La 8.528 4.437 3.178
La 5.739 1.791 4.397
La 3.899 -1.415 4.264
La 9.248 1.791 5.101
La 5.992 -1.791 1.231
La 11.341 1.415 2.068
La 9.501 -1.791 1.935
La 6.712 -4.437 3.155
La 11.087 -1.415 5.234
La 8.782 -4.437 0.011
Pr 7.747 1.255 1.583
Pr 7.493 -1.255 4.749
Ag 2.285 1.533 3.798
Ag 2.538 -1.533 0.632
Ag 12.702 1.533 5.700
Ag 12.956 -1.533 2.534
```

Summary:
* calculated formation energy: -0.040 eV/atom
* E: -80.8 eV per cell
* space-group type: C2/c, No. 15
* polymorph energy (0 for the lowest one): 65.7 meV/atom


The following is a DFT calculation (PBE-GGA) of a relaxed La2PrAg crystal.

The structure in extended XYZ format:
```
4
Lattice="3.815 0.000 0.000 0.000 3.815 0.000 0.000 0.000 8.879" Properties=species:S:1:pos:R:3 pbc="T T T"
La 0.000 0.000 1.910
La 0.000 0.000 6.969
Pr 1.908 1.908 4.440
Ag 1.908 1.908 0.000
```

Summary:
* calculated formation energy: -0.114 eV/atom
* E: -17.9 eV per cell
* space-group type: P4/mmm, No. 123
* polymorph energy (0 for the lowest one): 0.0 meV/atom


What did the fourth record say?
The following is a DFT calculation (PBE-GGA) of a relaxed La2PrAg crystal.

The structure in extended XYZ format:
```
4
Lattice="3.815 0.000 0.000 0.000 3.815 0.000 0.000 0.000 8.879" Properties=species:S:1:pos:R:3 pbc="T T T"
La 0.000 0.000 1.910
La 0.000 0.000 6.969
Pr 1.908 1.908 4.440
Ag 1.908 1.908 0.000
```

Summary:
* calculated formation energy: -0.114 eV/atom
* E: -17.9 eV per cell
* space-group type: P4/mmm, No. 123
* polymorph energy (0 for the lowest one): 0.0 meV/atom


The lowest calculated formation energy belongs to which entry? number 4


Among the records above, which one has the highest calculated formation energy? number 2


The lowest calculated formation energy belongs to which entry? number 4